# 1
TeMoPtN2: relaxed, PBE-GGA.

The structure in extended XYZ format:
```
5
Lattice="3.8722 0.0000 0.0000 0.0000 3.8722 0.0000 0.0000 0.0000 5.9407" Properties=species:S:1:pos:R:3 pbc="T T T"
Mo 0.0000 0.0000 0.0000
Te 0.0000 0.0000 2.9703
Pt 1.9361 1.9361 2.9703
N 0.0000 1.9361 0.0000
N 1.9361 0.0000 0.0000
```

## Properties
- uncorrected formation energy (kJ/mol of formula units) = 297
- SG = P4/mmm, No. 123
- energy relative to the lowest polymorph listed for this composition (meV/atom) = 0.0
- energy (Ry per atom) = -0.4937
- spin magnetization (μB per formula unit) = 0.00

# 2
Li7In3Pd: relaxed, PBE-GGA.

The structure in extended XYZ format:
```
22
Lattice="2.9115 0.0000 0.0000 -1.4557 9.6621 0.0000 0.0000 0.0000 14.9181" Properties=species:S:1:pos:R:3 pbc="T T T"
Li 1.4557 0.1233 5.9931
Li 0.0000 9.5388 8.9250
Li 1.4557 2.2822 9.9066
Li 1.4557 4.7174 8.6879
Li 0.0000 4.9447 6.2302
Li 0.0000 7.3799 2.4476
Li 0.0000 9.5388 13.4521
Li 1.4557 0.1233 1.4660
Li 1.4557 4.7174 13.6893
Li 0.0000 4.9447 1.2288
Li 0.0000 7.3799 5.0115
Li 1.4557 2.0384 3.7295
Li 1.4557 2.2822 12.4705
Li 0.0000 7.6236 11.1886
In 0.0000 2.2911 0.1469
In 1.4557 7.3710 14.7712
In 0.0000 4.5938 11.1886
In 1.4557 7.3710 7.6060
In 1.4557 5.0682 3.7295
In 0.0000 2.2911 7.3121
Pd 1.4557 9.3142 3.7295
Pd 0.0000 0.3478 11.1886
```

## Properties
- ΔE_f (eV/f.u.) = -2.3
- SG = Cmcm, No. 63
- energy (Ry per atom) = -0.1947
- spin magnetization (μB per formula unit) = 0.00